No. 1
Compound: Pr6Pt2RhI3
Source: the Alexandria database
Functional: GGA-PBE
Structure: relaxed

abc: 7.410 7.410 8.530
angles: 98.33 98.33 120.01
Fractional coordinates of all 12 atoms:
Pr 0.390 0.062 0.186
Pr 0.735 0.735 0.187
Pr 0.938 0.610 0.814
Pr 0.610 0.938 0.814
Pr 0.265 0.265 0.813
Pr 0.062 0.390 0.186
Pt 0.333 0.667 0.000
Pt 0.667 0.333 0.000
I 0.500 0.500 0.500
I 0.833 0.167 0.500
I 0.167 0.833 0.500
Rh 0.000 0.000 0.000

E_tot: -65.45 eV per cell
mass density: 7.4 g/cm³
Fermi-level density of states: 7.89 states/eV/f.u.
V: 388 Å³/cell

No. 2
Compound: InRhWSe2
Source: the Alexandria database
Functional: GGA-PBE
Structure: relaxed

abc: 4.889 4.889 4.987
angles: 90.00 90.00 90.00
Fractional coordinates of all 5 atoms:
Rh 0.000 0.000 0.000
Se 0.500 0.000 0.000
Se 0.000 0.500 0.000
In 0.000 0.000 0.500
W 0.500 0.500 0.500

E_tot: -24.31 eV per cell
mass density: 7.8 g/cm³
Fermi-level density of states: 3.24 states/eV/f.u.
V: 119 Å³/cell

No. 3
Compound: PmTlGe
Source: the Alexandria database
Functional: GGA-PBE
Structure: relaxed

abc: 4.002 4.273 9.552
angles: 102.93 90.00 90.00
Fractional coordinates of all 6 atoms:
Ge 0.750 0.545 0.091
Ge 0.250 0.455 0.909
Pm 0.250 0.090 0.179
Pm 0.750 0.910 0.821
Tl 0.250 0.287 0.573
Tl 0.750 0.713 0.427

E_tot: -26.54 eV per cell
mass density: 8.8 g/cm³
Fermi-level density of states: 1.64 states/eV/f.u.
V: 159 Å³/cell
formation energy: -0.51 eV per atom
energy relative to the lowest polymorph listed for this composition: 0 meV per atom

No. 4
Compound: Mn2IrOs
Source: the Alexandria database
Functional: GGA-PBE
Structure: relaxed

abc: 4.515 4.515 4.515
angles: 130.88 130.87 72.01
Fractional coordinates of all 4 atoms:
Mn 0.000 0.000 0.000
Mn 0.500 0.500 0.000
Os 0.750 0.250 0.500
Ir 0.250 0.750 0.500

E_tot: -38.54 eV per cell
mass density: 15.9 g/cm³
Fermi-level density of states: 3.92 states/eV/f.u.
V: 51 Å³/cell
formation energy: -0.03 eV per atom
energy relative to the lowest polymorph listed for this composition: 86 meV per atom

No. 5
Compound: RbTiSi2
Source: the Alexandria database
Functional: GGA-PBE
Structure: relaxed

abc: 5.542 5.542 9.170
angles: 72.41 72.41 90.00
Fractional coordinates of all 8 atoms:
Si 0.375 0.625 0.250
Si 0.875 0.625 0.750
Si 0.375 0.625 0.750
Si 0.375 0.125 0.250
Ti 0.250 0.750 0.500
Ti 0.500 0.500 0.000
Rb 0.000 0.000 0.000
Rb 0.750 0.250 0.500

E_tot: -36.39 eV per cell
mass density: 2.5 g/cm³
Fermi-level density of states: 2.57 states/eV/f.u.
V: 255 Å³/cell
energy relative to the lowest polymorph listed for this composition: 0 meV per atom

No. 6
Compound: HgGe2Sb2
Source: the Alexandria database
Functional: GGA-PBE
Structure: relaxed

abc: 8.200 8.200 3.727
angles: 90.00 90.00 90.00
Fractional coordinates of all 10 atoms:
Sb 0.353 0.147 0.500
Sb 0.647 0.853 0.500
Sb 0.147 0.647 0.500
Sb 0.853 0.353 0.500
Ge 0.138 0.362 0.000
Ge 0.362 0.862 0.000
Ge 0.638 0.138 0.000
Ge 0.862 0.638 0.000
Hg 0.000 0.000 0.000
Hg 0.500 0.500 0.000

E_tot: -33.28 eV per cell
mass density: 7.8 g/cm³
Fermi-level density of states: 2.47 states/eV/f.u.
V: 251 Å³/cell
energy relative to the lowest polymorph listed for this composition: 58 meV per atom

No. 7
Compound: SrPtW
Source: the Alexandria database
Functional: GGA-PBE
Structure: relaxed

abc: 4.052 10.620 3.235
angles: 81.16 90.00 90.00
Fractional coordinates of all 6 atoms:
Pt 0.388 0.470 0.626
Pt 0.388 0.128 0.798
W 0.388 0.911 0.407
W 0.888 0.959 0.883
Sr 0.888 0.645 0.039
Sr 0.888 0.295 0.214

E_tot: -40.82 eV per cell
mass density: 11.3 g/cm³
Fermi-level density of states: 2.11 states/eV/f.u.
V: 138 Å³/cell
formation energy: 0.09 eV per atom
energy relative to the lowest polymorph listed for this composition: 116 meV per atom

No. 8
Compound: FeRhC2
Source: the Alexandria database
Functional: GGA-PBE
Structure: relaxed

abc: 4.436 4.436 5.411
angles: 65.80 65.80 90.00
Fractional coordinates of all 8 atoms:
C 0.592 0.125 0.250
C 0.158 0.625 0.250
C 0.375 0.408 0.750
C 0.875 0.842 0.750
Rh 0.750 0.250 0.500
Rh 0.000 0.000 0.000
Fe 0.500 0.500 0.000
Fe 0.250 0.750 0.500

E_tot: -64.37 eV per cell
mass density: 7.0 g/cm³
Fermi-level density of states: 3.22 states/eV/f.u.
V: 87 Å³/cell
formation energy: 0.52 eV per atom
energy relative to the lowest polymorph listed for this composition: 0 meV per atom

No. 9
Compound: La3Pr6Sc
Source: the Alexandria database
Functional: GGA-PBE
Structure: relaxed

abc: 3.668 15.865 14.499
angles: 122.43 90.00 90.00
Fractional coordinates of all 20 atoms:
La 0.250 0.540 0.155
La 0.750 0.579 0.443
La 0.250 0.421 0.557
La 0.750 0.460 0.845
La 0.750 0.119 0.077
La 0.250 0.881 0.923
Pr 0.250 0.170 0.316
Pr 0.250 0.059 0.830
Pr 0.750 0.941 0.170
Pr 0.750 0.305 0.009
Pr 0.750 0.830 0.684
Pr 0.250 0.232 0.764
Pr 0.750 0.641 0.748
Pr 0.750 0.768 0.236
Pr 0.250 0.359 0.252
Pr 0.250 0.790 0.452
Pr 0.750 0.210 0.548
Pr 0.250 0.695 0.991
Sc 0.750 0.014 0.601
Sc 0.250 0.986 0.399

E_tot: -97.76 eV per cell
mass density: 6.1 g/cm³
Fermi-level density of states: 15.27 states/eV/f.u.
V: 712 Å³/cell
formation energy: 0.09 eV per atom
energy relative to the lowest polymorph listed for this composition: 0 meV per atom

No. 10
Compound: La10Sm4Ho
Source: the Alexandria database
Functional: GGA-PBE
Structure: relaxed

abc: 10.952 9.008 9.008
angles: 68.31 52.56 52.56
Fractional coordinates of all 15 atoms:
Sm 0.439 0.332 0.790
Sm 0.771 0.790 0.668
Sm 0.561 0.668 0.210
Sm 0.229 0.210 0.332
La 0.596 0.122 0.353
La 0.949 0.647 0.122
La 0.404 0.878 0.647
La 0.718 0.353 0.878
La 0.750 0.500 0.500
La 0.282 0.647 0.122
La 0.250 0.500 0.500
La 0.071 0.878 0.647
La 0.051 0.353 0.878
La 0.929 0.122 0.353
Ho 0.000 0.000 0.000

E_tot: -67.51 eV per cell
mass density: 6.4 g/cm³
Fermi-level density of states: 27.45 states/eV/f.u.
V: 560 Å³/cell
formation energy: 0.35 eV per atom

No. 11
Compound: SrCd2Pt
Source: the Alexandria database
Functional: GGA-PBE
Structure: relaxed

abc: 4.806 4.806 5.952
angles: 66.18 66.18 60.19
Fractional coordinates of all 4 atoms:
Sr 0.756 0.756 0.731
Cd 0.961 0.961 0.117
Cd 0.222 0.222 0.332
Pt 0.560 0.560 0.320

E_tot: -11.42 eV per cell
mass density: 8.0 g/cm³
Fermi-level density of states: 2.11 states/eV/f.u.
V: 106 Å³/cell
formation energy: -0.47 eV per atom

No. 12
Compound: La8PC3I4
Source: the Alexandria database
Functional: GGA-PBE
Structure: relaxed

abc: 8.093 9.266 8.107
angles: 116.03 119.94 90.00
Fractional coordinates of all 16 atoms:
La 0.237 0.679 0.474
La 0.276 0.327 0.551
La 0.237 0.679 0.942
La 0.724 0.673 0.449
La 0.705 0.679 0.942
La 0.763 0.321 0.058
La 0.295 0.321 0.058
La 0.763 0.321 0.526
I 0.000 0.000 0.000
I 0.500 0.000 0.500
I 0.000 0.000 0.500
I 0.500 0.000 0.000
C 0.500 0.500 0.500
C 0.500 0.500 0.000
C 0.000 0.500 0.500
P 0.000 0.500 0.000

E_tot: -93.09 eV per cell
mass density: 6.2 g/cm³
Fermi-level density of states: 4.76 states/eV/f.u.
V: 454 Å³/cell

No. 13
Compound: SrGa2PdAu
Source: the Alexandria database
Functional: GGA-PBE
Structure: relaxed

abc: 4.614 4.614 6.009
angles: 112.58 112.58 90.00
Fractional coordinates of all 5 atoms:
Au 0.250 0.750 0.500
Ga 0.369 0.369 0.738
Ga 0.631 0.631 0.262
Pd 0.750 0.250 0.500
Sr 0.000 0.000 0.000

E_tot: -19.36 eV per cell
mass density: 8.2 g/cm³
Fermi-level density of states: 2.96 states/eV/f.u.
V: 107 Å³/cell
formation energy: -0.63 eV per atom

No. 14
Compound: YAs2RhW
Source: the Alexandria database
Functional: GGA-PBE
Structure: relaxed

abc: 5.180 5.117 5.180
angles: 90.00 90.00 90.00
Fractional coordinates of all 5 atoms:
Rh 0.500 0.500 0.500
W 0.000 0.500 0.000
As 0.000 0.000 0.500
As 0.500 0.000 0.000
Y 0.000 0.000 0.000

E_tot: -26.22 eV per cell
mass density: 6.4 g/cm³
Fermi-level density of states: 5.30 states/eV/f.u.
V: 137 Å³/cell
formation energy: 1.97 eV per atom

No. 15
Compound: DyHo3Os
Source: the Alexandria database
Functional: GGA-PBE
Structure: relaxed

abc: 5.398 5.398 5.398
angles: 90.00 90.00 90.00
Fractional coordinates of all 5 atoms:
Ho 0.000 0.500 0.000
Ho 0.500 0.000 0.000
Ho 0.000 0.000 0.500
Os 0.000 0.000 0.000
Dy 0.500 0.500 0.500

E_tot: -29.44 eV per cell
mass density: 8.9 g/cm³
Fermi-level density of states: 6.86 states/eV/f.u.
V: 157 Å³/cell
formation energy: 0.02 eV per atom
energy relative to the lowest polymorph listed for this composition: 97 meV per atom

No. 16
Compound: TaSi2Ir
Source: the Alexandria database
Functional: GGA-PBE
Structure: relaxed

abc: 2.884 2.884 7.165
angles: 90.00 90.00 100.71
Fractional coordinates of all 4 atoms:
Ta 0.500 0.500 0.250
Si 0.000 0.000 0.983
Si 0.000 0.000 0.517
Ir 0.500 0.500 0.750

E_tot: -32.57 eV per cell
mass density: 12.2 g/cm³
Fermi-level density of states: 1.79 states/eV/f.u.
V: 59 Å³/cell

No. 17
Compound: Ta2Be2In
Source: the Alexandria database
Functional: GGA-PBE
Structure: relaxed

abc: 6.327 6.327 3.610
angles: 90.00 90.00 90.00
Fractional coordinates of all 10 atoms:
In 0.500 0.500 0.000
In 0.000 0.000 0.000
Ta 0.673 0.827 0.500
Ta 0.827 0.327 0.500
Ta 0.327 0.173 0.500
Ta 0.173 0.673 0.500
Be 0.114 0.386 0.000
Be 0.614 0.114 0.000
Be 0.886 0.614 0.000
Be 0.386 0.886 0.000

E_tot: -67.85 eV per cell
mass density: 11.4 g/cm³
Fermi-level density of states: 2.03 states/eV/f.u.
V: 145 Å³/cell
formation energy: -0.01 eV per atom

No. 18
Compound: Hf2GaHW
Source: the Alexandria database
Functional: GGA-PBE
Structure: relaxed

abc: 4.559 4.559 3.668
angles: 90.00 90.00 90.00
Fractional coordinates of all 5 atoms:
W 0.000 0.000 0.500
Ga 0.500 0.500 0.500
Hf 0.000 0.500 0.000
Hf 0.500 0.000 0.000
H 0.000 0.000 0.000

E_tot: -40.29 eV per cell
mass density: 13.3 g/cm³
Fermi-level density of states: 1.48 states/eV/f.u.
V: 76 Å³/cell

No. 19
Compound: Er8Hg2Rh3
Source: the Alexandria database
Functional: GGA-PBE
Structure: relaxed

abc: 4.890 9.820 8.562
angles: 124.88 90.00 90.00
Fractional coordinates of all 13 atoms:
Er 0.500 0.636 0.768
Er 0.500 0.130 0.766
Er 0.000 0.882 0.766
Er 0.500 0.870 0.234
Er 0.000 0.118 0.234
Er 0.500 0.364 0.232
Er 0.000 0.616 0.232
Er 0.000 0.384 0.768
Rh 0.000 0.250 0.000
Rh 0.000 0.750 0.000
Rh 0.500 0.000 0.000
Hg 0.500 0.255 0.510
Hg 0.500 0.745 0.490

E_tot: -65.83 eV per cell
mass density: 10.1 g/cm³
Fermi-level density of states: 12.63 states/eV/f.u.
V: 337 Å³/cell
formation energy: -0.51 eV per atom

No. 20
Compound: Ba2SrAcSe4
Source: the Alexandria database
Functional: GGA-PBE
Structure: relaxed

abc: 4.570 7.977 7.902
angles: 70.68 90.00 90.00
Fractional coordinates of all 8 atoms:
Se 0.000 0.733 0.754
Se 0.500 0.267 0.744
Se 0.500 0.733 0.256
Se 0.000 0.267 0.246
Sr 0.500 0.500 0.000
Ba 0.000 0.000 0.000
Ba 0.500 0.000 0.500
Ac 0.000 0.500 0.500

E_tot: -39.61 eV per cell
mass density: 5.5 g/cm³
Fermi-level density of states: 3.00 states/eV/f.u.
V: 272 Å³/cell